Below is a relaxed SmTmAlHg crystal, with properties calculated at the PBE level.

For the density of states at the Fermi level, the calculation gives 2.5 states/eV/f.u. The energy of formation comes out at -0.4292 eV/atom. The value obtained for the mass density is 9.131 Mg/m³. Its total magnetic moment is 0.0 μB per cell. The value obtained for the energy above the lowest structure with this stoichiometry is 0 meV/atom.

The space group is P4mm (No. 99) and the conventional cell measures 3.617, 3.617 and 7.601 Å, with angles of 90.00, 90.00 and 90.00 degrees. The asymmetric unit holds Sm at (0.000, 0.000, 0.000), Tm at (0.000, 0.000, 0.480), Al at (0.500, 0.500, 0.249) and Hg at (0.500, 0.500, 0.717).